(1)
The following is a GGA-PBE calculation of a geometry-optimized CePaSbAu structure, from Alexandria.

Output
Space group: F-43m
DOS(E_F) in states/eV per atom: 3.498
E_tot in Ry per atom: -0.449
Magnetization in μB/f.u.: 3.918

The structure in extended XYZ format:
```
16
Lattice="7.488 0.000 0.000 0.000 7.488 0.000 0.000 0.000 7.488" Properties=species:S:1:pos:R:3 pbc="T T T"
Ce 0.000 0.000 0.000
Ce 0.000 3.744 3.744
Ce 3.744 0.000 3.744
Ce 3.744 3.744 0.000
Pa 0.000 0.000 3.744
Pa 0.000 3.744 0.000
Pa 3.744 0.000 0.000
Pa 3.744 3.744 3.744
Sb 1.872 1.872 5.616
Sb 1.872 5.616 1.872
Sb 5.616 1.872 1.872
Sb 5.616 5.616 5.616
Au 1.872 1.872 1.872
Au 1.872 5.616 5.616
Au 5.616 1.872 5.616
Au 5.616 5.616 1.872
```

***

(2)
The following is a GGA-PBE calculation of a geometry-optimized Pr7Nd3Y2 structure, from Alexandria.

Output
Energy above the lowest structure with this stoichiometry in meV/atom: 17
Space group: P2/m
DOS(E_F) in states/eV per atom: 1.445
Magnetization in μB/f.u.: 0.000
DFT formation energy in eV/atom: 0.09

The structure in extended XYZ format:
```
12
Lattice="6.025 0.000 0.000 0.000 3.653 0.000 -1.169 0.000 19.465" Properties=species:S:1:pos:R:3 pbc="T T T"
Pr 0.000 0.000 0.000
Pr 0.914 1.826 3.545
Pr 0.920 1.826 10.420
Pr 0.904 0.000 16.637
Pr 3.952 0.000 2.829
Pr 3.936 1.826 9.045
Pr 3.943 1.826 15.920
Nd 0.908 0.000 7.137
Nd 3.012 1.826 0.000
Nd 3.948 0.000 12.329
Y 0.910 1.826 13.699
Y 3.946 1.826 5.766
```

***

(3)
The following is a GGA-PBE calculation of a geometry-optimized Mn3FeIr structure, from Alexandria.

Output
Energy above the lowest structure with this stoichiometry in meV/atom: 0
Space group: Pm-3m
DOS(E_F) in states/eV per atom: 2.056
Magnetization in μB/f.u.: 0.009
DFT formation energy in eV/atom: 1.25

The structure in extended XYZ format:
```
5
Lattice="4.078 0.000 0.000 0.000 4.078 0.000 0.000 0.000 4.078" Properties=species:S:1:pos:R:3 pbc="T T T"
Mn 0.000 0.000 2.039
Mn 0.000 2.039 0.000
Mn 2.039 0.000 0.000
Fe 0.000 0.000 0.000
Ir 2.039 2.039 2.039
```

***

(4)
The following is a GGA-PBE calculation of a geometry-optimized Ac2HgRh structure, from Alexandria.

Output
Energy above the lowest structure with this stoichiometry in meV/atom: 158
Space group: Fm-3m
DOS(E_F) in states/eV per atom: 0.640
Magnetization in μB/f.u.: 0.000
DFT formation energy in eV/atom: -0.45

The structure in extended XYZ format:
```
16
Lattice="7.764 0.000 0.000 0.000 7.764 0.000 0.000 0.000 7.764" Properties=species:S:1:pos:R:3 pbc="T T T"
Ac 1.941 1.941 1.941
Ac 1.941 1.941 5.823
Ac 1.941 5.823 1.941
Ac 1.941 5.823 5.823
Ac 5.823 1.941 1.941
Ac 5.823 1.941 5.823
Ac 5.823 5.823 1.941
Ac 5.823 5.823 5.823
Hg 0.000 0.000 0.000
Hg 0.000 3.882 3.882
Hg 3.882 0.000 3.882
Hg 3.882 3.882 0.000
Rh 0.000 0.000 3.882
Rh 0.000 3.882 0.000
Rh 3.882 0.000 0.000
Rh 3.882 3.882 3.882
```

***

(5)
The following is a GGA-PBE calculation of a geometry-optimized La3Pm5Nd structure, from Alexandria.

Output
Space group: C2/m
DOS(E_F) in states/eV per atom: 1.584
Magnetization in μB/f.u.: 0.000
DFT formation energy in eV/atom: 0.38

The structure in extended XYZ format:
```
18
Lattice="6.220 -4.281 0.000 6.220 4.281 0.000 -2.655 0.000 12.672" Properties=species:S:1:pos:R:3 pbc="T T T"
La 0.000 0.000 0.000
La -1.327 0.000 6.336
La 1.975 0.000 6.758
La 2.798 0.000 10.004
La 6.988 0.000 2.668
La 7.810 0.000 5.914
Pm 3.927 2.636 2.844
Pm 3.179 0.000 0.394
Pm 6.220 1.575 0.000
Pm 5.858 2.636 9.828
Pm 4.497 0.000 4.751
Pm 5.289 0.000 7.921
Pm 3.927 -2.636 2.844
Pm 6.220 -1.575 0.000
Pm 6.607 0.000 12.279
Pm 5.858 -2.636 9.828
Nd 1.001 0.000 3.367
Nd 8.785 0.000 9.305
```

***

(6)
The following is a GGA-PBE calculation of a geometry-optimized NdGdGaOs structure, from Alexandria.

Output
Space group: F-43m
DOS(E_F) in states/eV per atom: 0.651
Magnetization in μB/f.u.: 6.970
DFT formation energy in eV/atom: -0.24

The structure in extended XYZ format:
```
16
Lattice="7.124 0.000 0.000 0.000 7.124 0.000 0.000 0.000 7.124" Properties=species:S:1:pos:R:3 pbc="T T T"
Nd 0.000 0.000 0.000
Nd 0.000 3.562 3.562
Nd 3.562 0.000 3.562
Nd 3.562 3.562 0.000
Gd 0.000 0.000 3.562
Gd 0.000 3.562 0.000
Gd 3.562 0.000 0.000
Gd 3.562 3.562 3.562
Ga 1.781 1.781 1.781
Ga 1.781 5.343 5.343
Ga 5.343 1.781 5.343
Ga 5.343 5.343 1.781
Os 1.781 1.781 5.343
Os 1.781 5.343 1.781
Os 5.343 1.781 1.781
Os 5.343 5.343 5.343
```

***

(7)
The following is a GGA-PBE calculation of a geometry-optimized Sn2HgW structure, from Alexandria.

Output
Space group: I-42d
DOS(E_F) in states/eV per atom: 0.303
Magnetization in μB/f.u.: 0.000
DFT formation energy in eV/atom: 1.10

The structure in extended XYZ format:
```
16
Lattice="6.691 0.000 0.000 0.000 6.691 0.000 0.000 0.000 11.758" Properties=species:S:1:pos:R:3 pbc="T T T"
Sn 1.416 1.673 1.470
Sn 1.673 4.761 4.409
Sn 1.673 5.275 10.289
Sn 1.929 1.673 7.349
Sn 4.761 5.018 7.349
Sn 5.018 1.416 10.289
Sn 5.018 1.929 4.409
Sn 5.275 5.018 1.470
Hg 0.000 0.000 5.879
Hg 0.000 3.345 8.819
Hg 3.345 0.000 2.940
Hg 3.345 3.345 0.000
W 0.000 0.000 0.000
W 0.000 3.345 2.940
W 3.345 0.000 8.819
W 3.345 3.345 5.879
```

***

(8)
The following is a GGA-PBE calculation of a geometry-optimized CsSe2I2 structure, from Alexandria.

Output
Energy above the lowest structure with this stoichiometry in meV/atom: 0
Space group: I4/mmm
DOS(E_F) in states/eV per atom: 0.743
Magnetization in μB/f.u.: 0.000

The structure in extended XYZ format:
```
10
Lattice="6.401 0.000 0.000 0.000 6.401 0.000 0.000 0.000 10.248" Properties=species:S:1:pos:R:3 pbc="T T T"
Cs 0.000 0.000 0.000
Cs 3.201 3.201 5.124
Se 0.000 0.000 4.030
Se 0.000 0.000 6.217
Se 3.201 3.201 1.094
Se 3.201 3.201 9.154
I 0.000 3.201 2.562
I 0.000 3.201 7.686
I 3.201 0.000 2.562
I 3.201 0.000 7.686
```

***

(9)
The following is a GGA-PBE calculation of a geometry-optimized CaRhF2 structure, from Alexandria.

Output
Energy above the lowest structure with this stoichiometry in meV/atom: 341
Space group: I-42d
DOS(E_F) in states/eV per atom: 0.720
Magnetization in μB/f.u.: 1.248

The structure in extended XYZ format:
```
16
Lattice="5.247 0.000 0.000 0.000 5.247 0.000 0.000 0.000 11.118" Properties=species:S:1:pos:R:3 pbc="T T T"
Ca 0.000 0.000 0.000
Ca 0.000 2.623 2.780
Ca 2.623 0.000 8.339
Ca 2.623 2.623 5.559
Rh 0.000 0.000 5.559
Rh 0.000 2.623 8.339
Rh 2.623 0.000 2.780
Rh 2.623 2.623 0.000
F 1.031 1.312 1.390
F 1.312 3.654 4.169
F 1.312 4.216 9.728
F 1.592 1.312 6.949
F 3.654 3.935 6.949
F 3.935 1.031 9.728
F 3.935 1.592 4.169
F 4.216 3.935 1.390
```

***

(10)
The following is a GGA-PBE calculation of a geometry-optimized Sc2Zn2In structure, from Alexandria.

Output
Space group: I4/mmm
DOS(E_F) in states/eV per atom: 0.679
Magnetization in μB/f.u.: 0.932
DFT formation energy in eV/atom: -0.01

The structure in extended XYZ format:
```
10
Lattice="4.351 0.000 0.000 0.000 4.351 0.000 0.000 0.000 11.549" Properties=species:S:1:pos:R:3 pbc="T T T"
Sc 0.000 2.175 2.887
Sc 0.000 2.175 8.662
Sc 2.175 0.000 2.887
Sc 2.175 0.000 8.662
Zn 0.000 0.000 1.167
Zn 0.000 0.000 10.382
Zn 2.175 2.175 4.607
Zn 2.175 2.175 6.942
In 0.000 0.000 5.775
In 2.175 2.175 0.000
```

***

(11)
The following is a GGA-PBE calculation of a geometry-optimized NpPb2AuO8 structure, from Alexandria.

Output
Space group: P-1
DOS(E_F) in states/eV per atom: 0.151
E_tot in Ry per atom: -0.487
Magnetization in μB/f.u.: 0.000

The structure in extended XYZ format:
```
12
Lattice="5.159 0.000 0.000 0.473 5.141 0.000 0.701 0.628 7.173" Properties=species:S:1:pos:R:3 pbc="T T T"
Np 0.000 0.000 0.000
Pb 2.735 2.493 1.878
Pb 3.597 3.276 5.295
Au 0.351 0.314 3.586
O 1.003 0.904 1.760
O 1.762 1.580 5.989
O 2.202 3.938 3.588
O 1.858 3.602 0.002
O 4.475 2.166 7.171
O 4.131 1.830 3.585
O 4.571 4.189 1.184
O 5.330 4.864 5.413
```

***

(12)
The following is a GGA-PBE calculation of a geometry-optimized Mn3W structure, from Alexandria.

Output
Space group: Pnma
DOS(E_F) in states/eV per atom: 1.204
Magnetization in μB/f.u.: 0.001
DFT formation energy in eV/atom: 0.17

The structure in extended XYZ format:
```
16
Lattice="4.711 0.000 0.000 0.000 8.309 0.000 0.000 0.000 5.029" Properties=species:S:1:pos:R:3 pbc="T T T"
Mn 0.277 2.077 0.576
Mn 1.023 4.325 4.425
Mn 1.023 8.139 4.425
Mn 1.332 0.171 1.910
Mn 1.332 3.984 1.910
Mn 2.079 6.232 3.091
Mn 2.632 2.077 1.938
Mn 3.379 4.325 3.119
Mn 3.379 8.139 3.119
Mn 3.687 0.171 0.604
Mn 3.687 3.984 0.604
Mn 4.434 6.232 4.453
W 0.154 2.077 3.068
W 2.201 6.232 0.553
W 2.509 2.077 4.476
W 4.556 6.232 1.962
```

***

(13)
The following is a GGA-PBE calculation of a geometry-optimized Cd2FePt structure, from Alexandria.

Output
Space group: Imm2
DOS(E_F) in states/eV per atom: 0.726
Magnetization in μB/f.u.: 3.126
DFT formation energy in eV/atom: 0.04

The structure in extended XYZ format:
```
8
Lattice="4.170 0.000 0.000 0.000 4.192 0.000 0.000 0.000 7.824" Properties=species:S:1:pos:R:3 pbc="T T T"
Cd 0.000 0.000 0.000
Cd 0.000 2.096 1.951
Cd 2.085 0.000 5.863
Cd 2.085 2.096 3.912
Fe 0.000 2.096 5.869
Fe 2.085 0.000 1.957
Pt 0.000 0.000 3.903
Pt 2.085 2.096 7.815
```